[1]
{"formula": "ThAlMo", "functional": "PBE", "state": "optimized geometry", "lattice_angstrom": [[0.000, 3.262, 3.262], [3.262, 0.000, 3.262], [3.262, 3.262, 0.000]], "species": ["Th", "Al", "Mo"], "frac_coords": [[0.000, 0.000, 0.000], [0.500, 0.500, 0.500], [0.750, 0.750, 0.750]], "density_g_cm3": 8.49, "sg": "No. 216", "e_tot_ev_per_cell": -21.14, "volume_a3_per_cell": 69}

---

[2]
{"formula": "Al2TlMo", "functional": "PBE", "state": "optimized geometry", "lattice_angstrom": [[0.000, 3.309, 3.309], [3.309, 0.000, 3.309], [3.309, 3.309, 0.000]], "species": ["Al", "Al", "Tl", "Mo"], "frac_coords": [[0.000, 0.000, 0.000], [0.250, 0.250, 0.250], [0.500, 0.500, 0.500], [0.750, 0.750, 0.750]], "density_g_cm3": 8.12, "sg": "No. 216", "e_tot_ev_per_cell": -18.05, "volume_a3_per_cell": 72}

---

[3]
{"formula": "TmAlMo", "functional": "PBE", "state": "optimized geometry", "lattice_angstrom": [[0.000, 3.227, 3.227], [3.227, 0.000, 3.227], [3.227, 3.227, 0.000]], "species": ["Tm", "Al", "Mo"], "frac_coords": [[0.000, 0.000, 0.000], [0.500, 0.500, 0.500], [0.750, 0.750, 0.750]], "density_g_cm3": 7.21, "sg": "No. 216", "polymorph_energy_mev_per_atom": 603, "volume_a3_per_cell": 67}

---

> What is the formula in the first record?

ThAlMo

---

Please write out number 3 again, unchanged.
{"formula": "TmAlMo", "functional": "PBE", "state": "optimized geometry", "lattice_angstrom": [[0.000, 3.227, 3.227], [3.227, 0.000, 3.227], [3.227, 3.227, 0.000]], "species": ["Tm", "Al", "Mo"], "frac_coords": [[0.000, 0.000, 0.000], [0.500, 0.500, 0.500], [0.750, 0.750, 0.750]], "density_g_cm3": 7.21, "sg": "No. 216", "polymorph_energy_mev_per_atom": 603, "volume_a3_per_cell": 67}